This record from Alexandria describes a relaxed CuAs3C crystal. The functional is PBE.

```
CuAs3C
1.0
4.629 0.000 0.000
0.000 4.629 0.000
0.000 0.000 4.629
Cu As C
1 3 1
Direct
0.000 0.000 0.000
0.000 0.000 0.500
0.000 0.500 0.000
0.500 0.000 0.000
0.500 0.500 0.500
```

Energy relative to the lowest polymorph listed for this composition ... 3.54 eV per formula unit
SG ... No. 221
E_form ... 1850 meV per atom


This record from Alexandria describes a relaxed Mg2TcGeIr crystal. The functional is PBE.

```
Mg2TcGeIr
1.0
4.935 0.000 0.000
0.000 4.935 0.000
0.000 0.000 4.689
Mg Tc Ge Ir
2 1 1 1
Direct
0.000 0.500 0.000
0.500 0.000 0.000
0.000 0.000 0.500
0.500 0.500 0.500
0.000 0.000 0.000
```

SG ... No. 123
E_form ... 653 meV per atom


This record from Alexandria describes a relaxed CoSiTc2 crystal. The functional is PBE.

```
CoSiTc2
1.0
5.950 0.000 0.000
0.000 5.950 0.000
0.000 0.000 5.950
Co Si Tc
4 4 8
Direct
0.000 0.000 0.000
0.000 0.500 0.500
0.500 0.000 0.500
0.500 0.500 0.000
0.250 0.250 0.750
0.250 0.750 0.250
0.750 0.250 0.250
0.750 0.750 0.750
0.000 0.000 0.500
0.000 0.500 0.000
0.250 0.250 0.250
0.250 0.750 0.750
0.500 0.000 0.000
0.500 0.500 0.500
0.750 0.250 0.750
0.750 0.750 0.250
```

SG ... No. 216
ΔE_f (raw) ... -0.092 eV per atom


This record from Alexandria describes a relaxed LaAlIn crystal. The functional is PBE.

```
LaAlIn
1.0
3.605 0.000 0.000
0.000 3.605 0.000
0.000 0.000 12.067
La Al In
2 2 2
Direct
0.000 0.000 0.000
0.500 0.500 0.500
0.000 0.000 0.675
0.500 0.500 0.175
0.000 0.000 0.300
0.500 0.500 0.800
```

SG ... No. 107
E_form ... -266 meV per atom


This record from Alexandria describes a relaxed Tm2Zn2Ga3 crystal. The functional is PBE.

```
Tm2Zn2Ga3
1.0
2.127 -9.225 0.000
2.127 9.225 0.000
0.000 0.000 6.849
Tm Zn Ga
4 4 6
Direct
0.049 0.951 0.750
0.156 0.844 0.250
0.844 0.156 0.750
0.951 0.049 0.250
0.314 0.686 0.061
0.314 0.686 0.439
0.686 0.314 0.561
0.686 0.314 0.939
0.224 0.776 0.750
0.439 0.561 0.569
0.439 0.561 0.931
0.561 0.439 0.069
0.561 0.439 0.431
0.776 0.224 0.250
```

SG ... No. 63
E_form ... -512 meV per atom


This record from Alexandria describes a relaxed GaCo2TcC crystal. The functional is PBE.

```
GaCo2TcC
1.0
4.498 0.000 0.000
0.000 4.498 0.000
0.000 0.000 3.604
Ga Co Tc C
1 2 1 1
Direct
0.000 0.000 0.000
0.000 0.500 0.000
0.500 0.000 0.000
0.500 0.500 0.500
0.000 0.000 0.500
```

Energy relative to the lowest polymorph listed for this composition ... 9.27 eV per formula unit
SG ... No. 123
E_form ... 1802 meV per atom


This record from Alexandria describes a relaxed B5C7 crystal. The functional is PBE.

```
B5C7
1.0
3.759 0.000 0.000
-0.075 3.822 0.000
-1.633 -0.201 5.498
B C
5 7
Direct
0.000 0.000 0.000
0.122 0.461 0.303
0.438 0.438 0.001
0.566 0.780 0.813
0.790 0.466 0.635
0.108 0.226 0.797
0.257 0.992 0.630
0.307 0.745 0.147
0.446 0.216 0.478
0.619 0.973 0.316
0.763 0.200 0.146
0.938 0.747 0.477
```

Energy relative to the lowest polymorph listed for this composition ... 1.14 eV per formula unit
SG ... No. 1
E_form ... 353 meV per atom


This record from Alexandria describes a relaxed La2Sm6DyTm3 crystal. The functional is PBE.

```
La2Sm6DyTm3
1.0
3.127 -5.418 0.000
3.127 5.418 0.000
-2.087 0.000 11.751
La Sm Dy Tm
2 6 1 3
Direct
0.167 0.833 0.000
0.833 0.167 0.000
0.082 0.414 0.744
0.253 0.253 0.256
0.414 0.082 0.744
0.586 0.918 0.256
0.747 0.747 0.744
0.918 0.586 0.256
0.500 0.500 0.000
0.000 0.000 0.500
0.334 0.666 0.500
0.666 0.334 0.500
```

SG ... No. 12
E_form ... 24 meV per atom


| no. | DOS at the Fermi energy (states/eV/cell) | total DFT energy (no corrections) (eV per atom) | magnetization (μB per formula unit) |
| --- | --- | --- | --- |
| 1 | 3.759 | -3.6033 | 0.000 |
| 2 | 3.803 | -4.7536 | 1.430 |
| 3 | 11.978 | -8.4073 | 2.303 |
| 4 | 3.696 | -4.0689 | 0.000 |
| 5 | 4.579 | -3.4504 | 0.000 |
| 6 | 3.936 | -5.5642 | 5.898 |
| 7 | 2.082 | -7.8103 | 0.000 |
| 8 | 16.573 | -4.6582 | 0.000 |